Zn7Cu2Pd: optimized geometry, PBE.

Properties
**SG**: P3m1
**Density of states at the Fermi level**: 0.36 states/eV/atom
**Formation enthalpy at 0 K**: -0.0677 eV/atom

a b c (Å): 4.2068 4.2068 10.2522
angles (deg): 90.00 90.00 120.00
Element x y z (fractional)
Zn 0.0000 0.0000 0.0000
Zn 0.0000 0.0000 0.2588
Zn 0.0000 0.0000 0.5242
Zn 0.3333 0.6667 0.1420
Zn 0.3333 0.6667 0.6737
Zn 0.6667 0.3333 0.3599
Zn 0.6667 0.3333 0.8442
Cu 0.0000 0.0000 0.7616
Cu 0.6667 0.3333 0.0968
Pd 0.3333 0.6667 0.4126